(1)
VASP calculation (PBE-GGA) on a relaxed structure of FeWSe2.

Cell lengths 3.0405, 3.0405, 7.8452 Å; angles 90.00, 90.00, 90.00 degrees
Closest atoms and distances in Å follow each position.
Positions (direct):
Fe (0.5000, 0.5000, 0.7494)  4 Se 2.43
Se (0.0000, 0.0000, 0.8927)  4 Fe 2.43
Se (0.5000, 0.5000, 0.3324)  4 W 2.63
W (0.0000, 0.0000, 0.5255)  5 Se 2.63-2.88, 4 Fe 2.78

**Space group**: No. 99
**VASP energy**: -0.260 hartree per atom
**Energy above the lowest structure with this stoichiometry**: 0.153 eV per atom
**Formation energy (no corrections)**: 0.02 eV per atom
**Total moment**: 0.38 μB per atom

---

(2)
VASP calculation (PBE-GGA) on a relaxed structure of FeW2Se.

Cell lengths 4.9557, 4.9557, 4.9557 Å; angles 134.85, 134.85, 65.77 degrees
Closest atoms and distances in Å follow each position.
Positions (direct):
Fe (0.5000, 0.5000, 0.0000)  8 W 2.69-2.82, 4 Se 2.82
Se (0.7500, 0.2500, 0.5000)  8 W 2.69-2.82, 4 Fe 2.82
W (0.0000, 0.0000, 0.0000)  4 Fe 2.69, 4 W 2.82, 4 Se 2.82
W (0.2500, 0.7500, 0.5000)  4 Se 2.69, 4 W 2.82, 4 Fe 2.82

**Space group**: No. 119
**VASP energy**: -0.323 hartree per atom
**Formation energy (no corrections)**: 0.68 eV per atom
**Total moment**: 0.63 μB per atom

---

(3)
VASP calculation (PBE-GGA) on a relaxed structure of FeWSe2.

Cell lengths 7.0862, 7.0862, 7.0862 Å; angles 153.01, 151.71, 39.50 degrees
Closest atoms and distances in Å follow each position.
Positions (direct):
Fe (0.2824, 0.7824, 0.5000)  4 Se 2.40, 2 W 2.52
Se (0.0198, 0.0198, 0.0000)  4 W 2.71
Se (0.7726, 0.2726, 0.5000)  4 Fe 2.40, 2 W 2.67
W (0.4251, 0.4251, 0.0000)  2 Fe 2.52, 6 Se 2.67-2.71

**Space group**: No. 44
**VASP energy**: -0.255 hartree per atom
**Energy above the lowest structure with this stoichiometry**: 0.303 eV per atom
**Formation energy (no corrections)**: 0.17 eV per atom
**Total moment**: 0.51 μB per atom

---

(4)
VASP calculation (PBE-GGA) on a relaxed structure of FeWSe2.

Cell lengths 7.7767, 7.7767, 7.7767 Å; angles 23.43, 23.43, 23.43 degrees
Closest atoms and distances in Å follow each position.
Positions (direct):
Fe (0.7500, 0.7500, 0.7500)  6 Se 2.63
Se (0.9996, 0.9996, 0.9996)  3 W 2.62, 3 Fe 2.63
Se (0.5004, 0.5004, 0.5004)  3 W 2.62, 3 Fe 2.63
W (0.2500, 0.2500, 0.2500)  6 Se 2.62

**Space group**: No. 166
**VASP energy**: -0.252 hartree per atom
**Energy above the lowest structure with this stoichiometry**: 0.385 eV per atom
**Formation energy (no corrections)**: 0.25 eV per atom
**Total moment**: 0.63 μB per atom

---

(5)
VASP calculation (PBE-GGA) on a relaxed structure of FeWSe2.

Cell lengths 7.3818, 7.3818, 7.3818 Å; angles 153.51, 149.93, 40.49 degrees
Closest atoms and distances in Å follow each position.
Positions (direct):
Fe (0.2500, 0.7500, 0.5000)  4 Se 2.43, 4 W 2.55
Se (0.1241, 0.1241, 0.0000)  2 Fe 2.43, 2 W 2.59
Se (0.3759, 0.3759, 0.0000)  2 Fe 2.43, 2 W 2.59
W (0.7500, 0.2500, 0.5000)  4 Fe 2.55, 4 Se 2.59

**Space group**: No. 71
**VASP energy**: -0.260 hartree per atom
**Energy above the lowest structure with this stoichiometry**: 0.152 eV per atom
**Formation energy (no corrections)**: 0.02 eV per atom
**Total moment**: 0.00 μB per atom

---

(6)
VASP calculation (PBE-GGA) on a relaxed structure of FeWSe2.

Cell lengths 5.8750, 6.9053, 3.1201 Å; angles 116.74, 58.00, 135.01 degrees
Closest atoms and distances in Å follow each position.
Positions (direct):
Fe (0.5000, 0.0000, 0.5000)  4 Se 2.49
Se (0.0000, 0.0000, 0.0000)  2 W 2.49, 2 Fe 2.49
Se (0.0000, 0.5000, 0.5000)  2 Fe 2.49, 2 W 2.49
W (0.5000, 0.5000, 0.0000)  4 Se 2.49

**Space group**: No. 12
**VASP energy**: -0.236 hartree per atom
**Energy above the lowest structure with this stoichiometry**: 0.797 eV per atom
**Formation energy (no corrections)**: 0.66 eV per atom
**Total moment**: 0.64 μB per atom

---

(7)
VASP calculation (PBE-GGA) on a relaxed structure of FeWSe2.

Cell lengths 3.0895, 5.5425, 3.9969 Å; angles 90.00, 90.00, 90.00 degrees
Closest atoms and distances in Å follow each position.
Positions (direct):
Fe (0.0000, 0.5000, 0.5000)  4 Se 2.53
Se (0.0000, 0.0000, 0.0000)  4 W 2.53
Se (0.5000, 0.5000, 0.0000)  4 Fe 2.53
W (0.5000, 0.0000, 0.5000)  4 Se 2.53

**Space group**: No. 47
**VASP energy**: -0.234 hartree per atom
**Energy above the lowest structure with this stoichiometry**: 0.854 eV per atom
**Formation energy (no corrections)**: 0.72 eV per atom
**Total moment**: 0.63 μB per atom

---

(8)
VASP calculation (PBE-GGA) on a relaxed structure of Fe3WSe.

Cell lengths 4.2601, 4.2601, 4.2601 Å; angles 90.00, 90.00, 90.00 degrees
Closest atoms and distances in Å follow each position.
Positions (direct):
Se (0.0000, 0.0000, 0.0000)  6 Fe 2.13
W (0.5000, 0.5000, 0.5000)  12 Fe 3.01
Fe (0.0000, 0.5000, 0.0000)  2 Se 2.13
Fe (0.0000, 0.0000, 0.5000)  2 Se 2.13
Fe (0.5000, 0.0000, 0.0000)  2 Se 2.13

**Space group**: No. 221
**VASP energy**: -0.265 hartree per atom
**Energy above the lowest structure with this stoichiometry**: 0.000 eV per atom
**Formation energy (no corrections)**: 1.16 eV per atom
**Total moment**: 1.11 μB per atom

---

(9)
VASP calculation (PBE-GGA) on a relaxed structure of FeWSe2.

Cell lengths 5.5629, 5.5629, 6.5342 Å; angles 64.81, 64.81, 90.00 degrees
Closest atoms and distances in Å follow each position.
Positions (direct):
Se (0.5987, 0.1250, 0.2500)  2 Fe 2.28, 2 W 2.45
Se (0.1513, 0.6250, 0.2500)  2 Fe 2.28, 2 W 2.45
Se (0.3750, 0.4013, 0.7500)  2 Fe 2.28, 2 W 2.45
Se (0.8750, 0.8487, 0.7500)  2 Fe 2.28, 2 W 2.45
W (0.0000, 0.0000, 0.0000)  4 Se 2.45
W (0.7500, 0.2500, 0.5000)  4 Se 2.45
Fe (0.5000, 0.5000, 0.0000)  4 Se 2.28
Fe (0.2500, 0.7500, 0.5000)  4 Se 2.28

**Space group**: No. 122
**VASP energy**: -0.244 hartree per atom
**Energy above the lowest structure with this stoichiometry**: 0.594 eV per atom
**Formation energy (no corrections)**: 0.46 eV per atom
**Total moment**: 0.20 μB per atom

---

(10)
VASP calculation (PBE-GGA) on a relaxed structure of FeW2Se.

Cell lengths 4.6820, 4.6820, 4.5879 Å; angles 82.24, 82.24, 38.51 degrees
Closest atoms and distances in Å follow each position.
Positions (direct):
Fe (0.7500, 0.7500, 0.7500)  6 W 2.66-2.71, 4 Se 2.77
Se (0.2500, 0.2500, 0.2500)  6 W 2.60-2.90, 4 Fe 2.77
W (0.0102, 0.0102, 0.9800)  3 Se 2.60-2.90, 4 W 2.64-2.90, 3 Fe 2.66-2.71
W (0.4898, 0.4898, 0.5200)  3 Se 2.60-2.90, 4 W 2.64-2.90, 3 Fe 2.66-2.71

**Space group**: No. 12
**VASP energy**: -0.331 hartree per atom
**Formation energy (no corrections)**: 0.46 eV per atom
**Total moment**: 0.54 μB per atom

---

(11)
VASP calculation (PBE-GGA) on a relaxed structure of FeWSe2.

Cell lengths 3.1620, 3.1620, 8.0313 Å; angles 90.00, 90.00, 120.77 degrees
Closest atoms and distances in Å follow each position.
Positions (direct):
Fe (0.5000, 0.5000, 0.7500)  4 Se 2.51
Se (0.0000, 0.0000, 0.9953)  2 Fe 2.51, 2 W 2.57
Se (0.0000, 0.0000, 0.5047)  2 Fe 2.51, 2 W 2.57
W (0.5000, 0.5000, 0.2500)  4 Se 2.57

**Space group**: No. 65
**VASP energy**: -0.237 hartree per atom
**Energy above the lowest structure with this stoichiometry**: 0.776 eV per atom
**Formation energy (no corrections)**: 0.64 eV per atom
**Total moment**: 0.75 μB per atom

---

(12)
VASP calculation (PBE-GGA) on a relaxed structure of Fe3WSe.

Cell lengths 4.5500, 4.5500, 4.5500 Å; angles 90.00, 90.00, 90.00 degrees
Closest atoms and distances in Å follow each position.
Positions (direct):
Se (0.5000, 0.5000, 0.5000)  12 Fe 3.22
W (0.0000, 0.0000, 0.0000)  6 Fe 2.28
Fe (0.0000, 0.5000, 0.0000)  2 W 2.28
Fe (0.0000, 0.0000, 0.5000)  2 W 2.28
Fe (0.5000, 0.0000, 0.0000)  2 W 2.28

**Space group**: No. 221
**VASP energy**: -0.250 hartree per atom
**Energy above the lowest structure with this stoichiometry**: 0.402 eV per atom
**Formation energy (no corrections)**: 1.56 eV per atom
**Total moment**: 1.02 μB per atom

---

(13)
VASP calculation (PBE-GGA) on a relaxed structure of FeWSe2.

Cell lengths 4.5128, 4.5128, 4.5128 Å; angles 60.00, 60.00, 60.00 degrees
Closest atoms and distances in Å follow each position.
Positions (direct):
Fe (0.5000, 0.5000, 0.5000)  4 W 2.76, 4 Se 2.76
Se (0.0000, 0.0000, 0.0000)  4 Se 2.76, 4 W 2.76
Se (0.2500, 0.2500, 0.2500)  4 Fe 2.76, 4 Se 2.76
W (0.7500, 0.7500, 0.7500)  4 Se 2.76, 4 Fe 2.76

**Space group**: No. 216
**VASP energy**: -0.228 hartree per atom
**Energy above the lowest structure with this stoichiometry**: 1.013 eV per atom
**Formation energy (no corrections)**: 0.88 eV per atom
**Total moment**: 0.46 μB per atom

---

(14)
VASP calculation (PBE-GGA) on a relaxed structure of Fe2W2Se.

Cell lengths 4.0269, 4.0269, 5.7407 Å; angles 69.47, 69.47, 90.00 degrees
Closest atoms and distances in Å follow each position.
Positions (direct):
Se (0.0000, 0.0000, 0.0000)  8 Fe 3.07, 8 W 3.20
W (0.7500, 0.2500, 0.5000)  4 Fe 2.42
W (0.2500, 0.7500, 0.5000)  4 Fe 2.42
Fe (0.3843, 0.3843, 0.2315)  1 Fe 2.31, 4 W 2.42
Fe (0.6157, 0.6157, 0.7685)  1 Fe 2.31, 4 W 2.42

**Space group**: No. 139
**VASP energy**: -0.317 hartree per atom
**Energy above the lowest structure with this stoichiometry**: 0.163 eV per atom
**Formation energy (no corrections)**: 0.64 eV per atom
**Total moment**: 0.00 μB per atom

---

(15)
VASP calculation (PBE-GGA) on a relaxed structure of FeW2Se.

Cell lengths 3.1441, 3.1441, 6.0557 Å; angles 90.00, 90.00, 90.00 degrees
Closest atoms and distances in Å follow each position.
Positions (direct):
Fe (0.0000, 0.0000, 0.4712)  4 W 2.50, 4 Se 2.80
Se (0.5000, 0.5000, 0.7515)  5 W 2.67-2.85, 4 Fe 2.80
W (0.0000, 0.0000, 0.9955)  4 Se 2.67, 4 W 2.82, 1 Fe 2.88
W (0.5000, 0.5000, 0.2817)  4 Fe 2.50

**Space group**: No. 99
**VASP energy**: -0.337 hartree per atom
**Formation energy (no corrections)**: 0.29 eV per atom
**Total moment**: 0.09 μB per atom

---

(16)
VASP calculation (PBE-GGA) on a relaxed structure of FeWSe2.

Cell lengths 4.3360, 4.3360, 5.2359 Å; angles 82.18, 82.18, 42.93 degrees
Closest atoms and distances in Å follow each position.
Positions (direct):
Fe (0.2500, 0.2500, 0.2500)  2 Se 2.42
Se (0.0273, 0.0273, 0.9879)  1 Fe 2.42, 2 W 2.58
Se (0.4727, 0.4727, 0.5121)  1 Fe 2.42, 2 W 2.58
W (0.7500, 0.7500, 0.7500)  6 Se 2.58-2.72

**Space group**: No. 12
**VASP energy**: -0.249 hartree per atom
**Energy above the lowest structure with this stoichiometry**: 0.466 eV per atom
**Formation energy (no corrections)**: 0.33 eV per atom
**Total moment**: 0.66 μB per atom

---

(17)
VASP calculation (PBE-GGA) on a relaxed structure of FeW2Se.

Cell lengths 2.8012, 2.8012, 8.6044 Å; angles 90.00, 90.00, 110.36 degrees
Closest atoms and distances in Å follow each position.
Positions (direct):
Fe (0.0000, 0.0000, 0.4943)  2 W 2.57, 2 Se 2.62, 4 Fe 2.80
Se (0.5000, 0.5000, 0.7358)  2 Fe 2.62, 4 Se 2.80, 2 W 2.85
W (0.0000, 0.0000, 0.0093)  6 W 2.69-2.80, 2 Se 2.85
W (0.5000, 0.5000, 0.2606)  2 Fe 2.57, 6 W 2.69-2.80

**Space group**: No. 35
**VASP energy**: -0.332 hartree per atom
**Formation energy (no corrections)**: 0.44 eV per atom
**Total moment**: 0.58 μB per atom

---

(18)
VASP calculation (PBE-GGA) on a relaxed structure of FeW2Se.

Cell lengths 4.4074, 4.4074, 4.4074 Å; angles 60.00, 60.00, 60.00 degrees
Closest atoms and distances in Å follow each position.
Positions (direct):
Fe (0.5000, 0.5000, 0.5000)  4 Se 2.70, 4 W 2.70
Se (0.2500, 0.2500, 0.2500)  4 W 2.70, 4 Fe 2.70
W (0.0000, 0.0000, 0.0000)  4 W 2.70, 4 Se 2.70
W (0.7500, 0.7500, 0.7500)  4 W 2.70, 4 Fe 2.70

**Space group**: No. 216
**VASP energy**: -0.321 hartree per atom
**Formation energy (no corrections)**: 0.73 eV per atom
**Total moment**: 0.04 μB per atom

---

(19)
VASP calculation (PBE-GGA) on a relaxed structure of FeWSe2.

Cell lengths 3.7414, 3.6461, 6.6027 Å; angles 89.98, 90.00, 90.00 degrees
Closest atoms and distances in Å follow each position.
Positions (direct):
Fe (0.5000, 0.8751, 0.6270)  4 Se 2.50-2.52, 4 W 2.61
Se (0.0000, 0.8748, 0.8830)  2 W 2.51, 2 Fe 2.52
Se (0.5000, 0.3751, 0.3676)  2 Fe 2.50, 2 W 2.52
W (0.0000, 0.3750, 0.6224)  4 Se 2.51-2.52, 4 Fe 2.61

**Space group**: No. 25
**VASP energy**: -0.266 hartree per atom
**Energy above the lowest structure with this stoichiometry**: 0.000 eV per atom
**Formation energy (no corrections)**: -0.13 eV per atom
**Total moment**: 0.53 μB per atom

---

(20)
VASP calculation (PBE-GGA) on a relaxed structure of FeWSe2.

Cell lengths 8.5038, 8.5038, 8.5038 Å; angles 21.65, 21.65, 21.65 degrees
Closest atoms and distances in Å follow each position.
Positions (direct):
Se (0.9050, 0.9050, 0.9050)  1 Fe 2.37, 3 W 2.57
Se (0.0950, 0.0950, 0.0950)  1 Fe 2.37, 3 W 2.57
W (0.5000, 0.5000, 0.5000)  6 Se 2.57
Fe (0.0000, 0.0000, 0.0000)  2 Se 2.37

**Space group**: No. 166
**VASP energy**: -0.252 hartree per atom
**Energy above the lowest structure with this stoichiometry**: 0.363 eV per atom
**Formation energy (no corrections)**: 0.23 eV per atom
**Total moment**: 0.66 μB per atom